[1]
Ag5Mo, relaxed, DFT PBE-GGA; offset from the most stable computed form = 0 meV per atom
1.0
1.3955 -7.7796 0.0000
1.3955 7.7796 0.0000
0.0000 0.0000 4.8340
Ag Mo
5 1
Cartesian
1.3955 7.7318 0.0000 Ag
1.3955 2.5494 0.0000 Ag
1.3955 -2.6106 0.0000 Ag
1.3955 0.8836 2.4170 Ag
1.3955 -4.2649 2.4170 Ag
1.3955 6.0835 2.4170 Mo



[2]
AgMo, relaxed, DFT PBE-GGA; offset from the most stable computed form = 2187 meV per atom
1.0
4.1263 0.0000 0.0000
2.0631 3.5735 0.0000
2.0631 1.1912 3.3691
Ag Mo
1 1
Cartesian
0.0000 0.0000 0.0000 Ag
2.0631 1.1912 0.8423 Mo



[3]
Ag5Mo, relaxed, DFT PBE-GGA; offset from the most stable computed form = 330 meV per atom
1.0
2.7087 -4.6916 0.0000
2.7087 4.6916 0.0000
0.0000 0.0000 4.7578
Ag Mo
5 1
Cartesian
1.3544 2.3458 2.3789 Ag
2.7087 1.5639 0.0000 Ag
1.3544 -2.3458 2.3789 Ag
2.7087 0.0000 2.3789 Ag
2.7087 -1.5639 0.0000 Ag
0.0000 0.0000 0.0000 Mo



[4]
AgMo, relaxed, DFT PBE-GGA; offset from the most stable computed form = 0 meV per atom
1.0
-1.6084 0.1989 2.2342
2.0550 -1.7672 0.5216
5.2769 7.0719 3.1694
Ag Mo
2 2
Cartesian
0.0224 0.0300 0.0134 Ag
4.1586 4.4898 3.7414 Ag
2.5718 3.4466 1.5446 Mo
1.6092 1.0731 2.2102 Mo



[5]
AgMo3, relaxed, DFT PBE-GGA; offset from the most stable computed form = 137 meV per atom
1.0
-4.8946 -2.1863 0.6029
4.0680 -2.2203 2.7609
0.2496 5.3038 -0.9531
Ag Mo
1 3
Cartesian
0.0000 0.0000 0.0000 Ag
2.1588 1.5417 0.9039 Mo
-2.3225 1.5587 -0.1751 Mo
-0.4133 -2.2033 1.6819 Mo



[6]
AgMo3, relaxed, DFT PBE-GGA; offset from the most stable computed form = 205 meV per atom
1.0
-0.1256 7.2739 4.1940
-3.0118 7.8079 -0.6934
-0.8235 -8.3460 -0.4256
Ag Mo
2 6
Cartesian
-1.1752 5.6496 1.3113 Ag
-1.9621 9.4323 2.1893 Ag
-0.4745 -0.5360 1.8842 Mo
-0.3821 1.8369 0.4264 Mo
-2.7553 13.2450 3.0742 Mo
-1.2589 3.2344 2.7593 Mo
-2.7020 3.5014 0.3156 Mo
-1.9176 -0.2691 -0.5595 Mo



[7]
Ag5Mo, relaxed, DFT PBE-GGA; offset from the most stable computed form = 4 meV per atom
1.0
1.1583 -5.2654 1.9273
3.6761 -4.1053 1.5533
0.6852 0.7526 6.9468
Ag Mo
5 1
Cartesian
0.6836 0.7464 6.9168 Ag
3.1426 -5.5111 4.0625 Ag
1.8454 -2.8943 3.4461 Ag
4.9757 -8.3617 7.5611 Ag
3.6918 -5.7712 6.9524 Ag
1.9852 -1.8738 7.5522 Mo



[8]
AgMo3, relaxed, DFT PBE-GGA; offset from the most stable computed form = 163 meV per atom
1.0
3.9997 0.0000 0.0000
0.0000 3.9997 0.0000
0.0000 0.0000 3.9997
Ag Mo
1 3
Cartesian
0.0000 0.0000 0.0000 Ag
0.0000 1.9999 1.9999 Mo
1.9999 0.0000 1.9999 Mo
1.9999 1.9999 0.0000 Mo



[9]
AgMo3, relaxed, DFT PBE-GGA; offset from the most stable computed form = 147 meV per atom
1.0
-4.9576 -0.3472 -0.8893
-0.2214 -4.1567 2.8571
-0.9287 2.8445 4.0664
Ag Mo
2 6
Cartesian
0.0000 0.0000 0.0000 Ag
-3.0538 -0.8297 3.0171 Ag
-0.5197 0.3831 2.7475 Mo
-0.6304 -1.6952 4.1760 Mo
-1.3501 -2.1651 1.2062 Mo
-2.7110 0.5375 0.5720 Mo
-3.1753 1.9598 2.6052 Mo
-3.8289 -2.3388 0.7615 Mo



[10]
AgMo, relaxed, DFT PBE-GGA; offset from the most stable computed form = 214 meV per atom
1.0
-4.6666 -1.9785 -2.3453
-2.7892 -2.3508 -4.2292
0.2021 -6.9228 1.5698
Ag Mo
3 3
Cartesian
-4.4479 -4.5846 -3.5265 Ag
-2.4693 -3.7304 -1.7235 Ag
-4.8787 -7.4533 -3.3888 Ag
0.1835 -6.7770 1.5224 Mo
-6.8763 -8.4957 -5.1735 Mo
-1.8612 -7.7627 -0.3205 Mo



[11]
AgMo, relaxed, DFT PBE-GGA; offset from the most stable computed form = 411 meV per atom
1.0
2.9845 0.0000 0.0000
0.0000 5.7624 0.0000
0.0000 0.0000 8.5824
Ag Mo
4 4
Cartesian
0.7461 0.5490 1.1659 Ag
2.2384 3.4302 3.1253 Ag
0.7461 2.3323 5.4571 Ag
2.2384 5.2135 7.4165 Ag
0.7461 3.5273 0.6673 Mo
2.2384 0.6461 3.6239 Mo
0.7461 5.1164 4.9585 Mo
2.2384 2.2351 7.9151 Mo



[12]
AgMo3, relaxed, DFT PBE-GGA; offset from the most stable computed form = 149 meV per atom
1.0
2.6527 0.0000 0.0000
0.0000 2.6527 0.0000
0.0000 0.0000 9.2865
Ag Mo
1 3
Cartesian
0.0000 0.0000 0.0000 Ag
0.0000 0.0000 4.6433 Mo
1.3263 1.3263 2.3434 Mo
1.3263 1.3263 6.9431 Mo